{
  "formula": "ZrTiCr2F",
  "functional": "PBE+U",
  "state": "relaxed",
  "lattice": [[-3.682, 0.784, 2.954], [0.126, -4.863, 1.448], [3.054, 1.123, 3.508]],
  "species": ["Cr", "Cr", "Ti", "Zr", "F"],
  "fractional_positions": [[0.000, 0.000, 0.500], [0.500, 0.000, 0.000], [0.000, 0.000, 0.000], [0.000, 0.500, 0.000], [0.500, 0.500, 0.500]],
  "final_energy_ev_per_fu": -28.3,
  "dos_at_fermi_per_ev_cell": 4.50,
  "total_magnetization_mub_per_cell": 7.1
}